No. 1
SmDy3Ga: relaxed, PBE.

**Calculated formation energy**: -0.062 eV per atom
**Fermi-level density of states**: 1.56 states/eV per atom
**Crystal system**: monoclinic
**Total magnetization**: 0.00 μB per cell

Unit cell a=7.4502 b=7.4502 c=7.4414 alpha=105.29 beta=117.60 gamma=105.89
Last column: nearest neighbours and their distance in Å.
Element x y z (fractional)
Sm 0.7149 0.0616 0.7765  2 Ga 2.91-3.15
Sm 0.2851 0.9384 0.2235  2 Ga 2.91-3.15
Dy 0.8447 0.0515 0.2786  2 Ga 2.86-3.12
Dy 0.2271 0.4340 0.2786  2 Ga 2.86-3.12
Dy 0.7729 0.5660 0.7214  2 Ga 2.86-3.12
Dy 0.7186 0.4423 0.1609  2 Ga 2.85-3.17
Dy 0.1553 0.9485 0.7214  2 Ga 2.86-3.12
Dy 0.2814 0.5577 0.8391  2 Ga 2.85-3.17
Ga 0.6265 0.7481 0.3746  6 Dy 2.85-3.17, 2 Sm 2.91-3.15
Ga 0.3735 0.2519 0.6254  6 Dy 2.85-3.17, 2 Sm 2.91-3.15

No. 2
YSn6Se8: relaxed, PBE.

**Raw formation energy**: -573 meV/atom
**Fermi-level density of states**: 0.53 states/eV per atom
**Crystal system**: trigonal
**Total magnetization**: 0.00 μB per cell

Unit cell a=7.9371 b=7.9371 c=7.9371 alpha=77.97 beta=77.97 gamma=77.97
Last column: nearest neighbours and their distance in Å.
Element x y z (fractional)
Y 0.0000 0.0000 0.0000  6 Se 2.91
Sn 0.6250 0.3717 0.8685  3 Se 2.74-2.79
Sn 0.3717 0.8685 0.6250  3 Se 2.74-2.79
Sn 0.8685 0.6250 0.3717  3 Se 2.74-2.79
Sn 0.3750 0.6283 0.1315  3 Se 2.74-2.79
Sn 0.6283 0.1315 0.3750  3 Se 2.74-2.79
Sn 0.1315 0.3750 0.6283  3 Se 2.74-2.79
Se 0.6999 0.6999 0.6999  3 Sn 2.79
Se 0.3001 0.3001 0.3001  3 Sn 2.79
Se 0.6729 0.8797 0.1668  2 Sn 2.74-2.77, 1 Y 2.91
Se 0.8797 0.1668 0.6729  2 Sn 2.74-2.77, 1 Y 2.91
Se 0.1668 0.6729 0.8797  2 Sn 2.74-2.77, 1 Y 2.91
Se 0.3271 0.1203 0.8332  2 Sn 2.74-2.77, 1 Y 2.91
Se 0.1203 0.8332 0.3271  2 Sn 2.74-2.77, 1 Y 2.91
Se 0.8332 0.3271 0.1203  2 Sn 2.74-2.77, 1 Y 2.91